(1)
ScNbReHg2 | PBE | relaxed

Values from the calculation:
Total energy   -4.7428 eV per atom

a b c (Å): 5.3068 5.3068 4.6237
angles (deg): 90.00 90.00 90.00
Space group P4/mmm (No. 123)
Inequivalent atoms, fractional coordinates:
Sc: 0.0000 0.0000 0.0000 x1
Nb: 0.5000 0.5000 0.5000 x1
Re: 0.5000 0.5000 0.0000 x1
Hg: 0.0000 0.5000 0.5000 x2

=====

(2)
Al2Ga2Au | PBE | relaxed

Values from the calculation:
Excess energy over the best structure of this formula in the dataset   0.59 eV per formula unit
Total energy   -3.2929 eV per atom

a b c (Å): 3.6752 3.6752 13.7063
angles (deg): 90.00 90.00 90.00
Space group I4/mmm (No. 139)
Inequivalent atoms, fractional coordinates:
Al: 0.0000 0.0000 0.0978 x4
Ga: 0.0000 0.5000 0.2500 x4
Au: 0.0000 0.0000 0.5000 x2

=====

(3)
Nd3In3Ni2 | PBE | relaxed

Values from the calculation:
Total energy   -4.7056 eV per atom

a b c (Å): 17.2249 4.4367 5.1731
angles (deg): 90.00 100.63 90.00
Space group C2/m (No. 12)
Inequivalent atoms, fractional coordinates:
Nd: 0.0000 0.0000 0.0000 x2
Nd: 0.1639 0.0000 0.5943 x4
In: 0.0000 0.5000 0.5000 x2
In: 0.1410 0.5000 0.0850 x4
Ni: 0.2271 0.0000 0.1180 x4

=====

The evaluated energy relative to the elements for the records listed, in turn: 5.7 0.4 -3.6 eV/f.u..